--- 1 ---
# TaRhC2

TaRhC2 after structural relaxation (PBE, Alexandria).

Structure (POSCAR):
```
TaRhC2
1.0
0.0000 2.7552 2.7552
2.7552 0.0000 2.7552
2.7552 2.7552 0.0000
C Rh Ta
2 1 1
direct
0.2500 0.2500 0.2500 C
0.7500 0.7500 0.7500 C
0.0000 0.0000 0.0000 Rh
0.5000 0.5000 0.5000 Ta
```

Output
- M_tot (Bohr magnetons per cell) = 0.00
- SG = Fm-3m


--- 2 ---
# TaRhC2

TaRhC2 after structural relaxation (PBE, Alexandria).

Structure (POSCAR):
```
TaRhC2
1.0
-1.3107 -0.2888 -4.4293
4.4279 -0.4059 -1.2838
1.2300 -5.2517 -2.4395
Ta C Rh
2 4 2
direct
0.7500 0.2500 0.5000 Ta
0.0000 0.0000 0.0000 Ta
0.3750 0.3888 0.7500 C
0.1388 0.6250 0.2500 C
0.6112 0.1250 0.2500 C
0.8750 0.8612 0.7500 C
0.2500 0.7500 0.5000 Rh
0.5000 0.5000 0.0000 Rh
```

Output
- M_tot (Bohr magnetons per cell) = 0.00
- SG = I-42d


Result of the stability comparison: 1 is the least stable of them.


--- 1 ---
# TbRhC

TbRhC after structural relaxation (PBE, Alexandria).

Structure (POSCAR):
```
TbRhC
1.0
4.6001 0.0000 0.0000
0.0000 4.6001 0.0000
-2.3000 -2.3000 4.5342
C Tb Rh
2 2 2
direct
0.7694 0.7694 0.5387 C
0.0194 0.5194 0.0387 C
0.7461 0.2461 0.4922 Tb
0.4961 0.4961 0.9922 Tb
0.2345 0.7345 0.4690 Rh
0.9845 0.9845 0.9690 Rh
```

Output
- M_tot (Bohr magnetons per cell) = 0.00
- SG = I4_1md


--- 2 ---
# TbRhC

TbRhC after structural relaxation (PBE, Alexandria).

Structure (POSCAR):
```
TbRhC
1.0
-3.1641 -2.0367 0.5656
1.1481 -0.5955 4.2781
-3.3559 5.0141 -0.7182
Rh Tb C
2 2 2
direct
0.8613 0.8671 0.9687 Rh
0.8613 0.1455 0.5258 Rh
0.3613 0.3582 0.9516 Tb
0.3613 0.6544 0.5429 Tb
0.8613 0.3513 0.2474 C
0.8613 0.6613 0.2471 C
```

Output
- M_tot (Bohr magnetons per cell) = 0.00
- SG = P2/m


Result of the stability comparison: 1 is the least stable of them.


--- 1 ---
# Te2RhC2

Te2RhC2 after structural relaxation (PBE, Alexandria).

Structure (POSCAR):
```
Te2RhC2
1.0
-2.5601 -2.0446 -1.5536
-0.6568 -1.5995 3.1872
-5.8905 2.5450 2.1260
Rh C Te
1 2 2
direct
0.0000 0.0000 0.0000 Rh
0.2500 0.7500 0.5000 C
0.7500 0.2500 0.5000 C
0.6378 0.6378 0.7245 Te
0.3622 0.3622 0.2755 Te
```

Output
- M_tot (Bohr magnetons per cell) = 0.00
- SG = I4/mmm


--- 2 ---
# Te2RhC2

Te2RhC2 after structural relaxation (PBE, Alexandria).

Structure (POSCAR):
```
Te2RhC2
1.0
5.4960 0.0000 0.0000
0.0000 5.4960 0.0000
2.7480 2.7480 2.8089
Te C Rh
2 2 1
direct
0.7500 0.2500 0.5000 Te
0.2500 0.7500 0.5000 Te
0.6152 0.6152 0.7696 C
0.3848 0.3848 0.2304 C
0.0000 0.0000 0.0000 Rh
```

Output
- M_tot (Bohr magnetons per cell) = 0.00
- SG = I4/mmm


--- 3 ---
# Te2RhC2

Te2RhC2 after structural relaxation (PBE, Alexandria).

Structure (POSCAR):
```
Te2RhC2
1.0
6.9947 0.0000 0.0000
0.0000 6.9947 0.0000
0.0000 0.0000 3.2922
Rh C Te
2 4 4
direct
0.0000 0.0000 0.0000 Rh
0.5000 0.5000 0.0000 Rh
0.3138 0.8138 0.0000 C
0.8138 0.6862 0.0000 C
0.6862 0.1862 0.0000 C
0.1862 0.3138 0.0000 C
0.3227 0.1773 0.5000 Te
0.1773 0.6773 0.5000 Te
0.6773 0.8227 0.5000 Te
0.8227 0.3227 0.5000 Te
```

Output
- M_tot (Bohr magnetons per cell) = 0.00
- SG = P4/mbm


--- 4 ---
# Te2RhC2

Te2RhC2 after structural relaxation (PBE, Alexandria).

Structure (POSCAR):
```
Te2RhC2
1.0
-3.4603 5.5467 -3.3382
-0.4540 -3.9837 -6.1487
-2.8998 -1.2089 0.9973
C Te Rh
4 4 2
direct
0.6915 0.8085 0.5000 C
0.1915 0.6915 0.5000 C
0.3085 0.1915 0.5000 C
0.8085 0.3085 0.5000 C
0.3220 0.8220 0.0000 Te
0.8220 0.6780 0.0000 Te
0.6780 0.1780 0.0000 Te
0.1780 0.3220 0.0000 Te
0.5000 0.5000 0.0000 Rh
0.0000 0.0000 0.0000 Rh
```

Output
- M_tot (Bohr magnetons per cell) = 0.00
- SG = P4/mbm


Result of the stability comparison: 1 is the least stable of them.


--- 1 ---
# TeRh2C

TeRh2C after structural relaxation (PBE, Alexandria).

Structure (POSCAR):
```
TeRh2C
1.0
-3.1331 -2.9285 -0.7896
-3.2916 0.9976 -2.6808
-0.2739 -1.8976 -3.9166
Rh Te C
2 1 1
direct
0.7500 0.7500 0.7500 Rh
0.2500 0.2500 0.2500 Rh
0.5000 0.5000 0.5000 Te
0.0000 0.0000 0.0000 C
```

Output
- M_tot (Bohr magnetons per cell) = 0.00
- SG = Fm-3m


--- 2 ---
# TeRh2C

TeRh2C after structural relaxation (PBE, Alexandria).

Structure (POSCAR):
```
TeRh2C
1.0
-2.5074 -2.6902 3.4822
2.4537 -4.1816 -1.4638
3.9250 -2.3947 4.6592
Te Rh C
2 4 2
direct
0.0000 0.0000 0.0000 Te
0.7500 0.2500 0.5000 Te
0.5160 0.1250 0.2500 Rh
0.2340 0.6250 0.2500 Rh
0.8750 0.7660 0.7500 Rh
0.3750 0.4840 0.7500 Rh
0.2500 0.7500 0.5000 C
0.5000 0.5000 0.0000 C
```

Output
- M_tot (Bohr magnetons per cell) = 0.00
- SG = I-42d


Result of the stability comparison: 1 is the least stable of them.


--- 1 ---
# TiRhC2

TiRhC2 after structural relaxation (PBE, Alexandria).

Structure (POSCAR):
```
TiRhC2
1.0
4.5589 0.0000 0.0000
0.0000 4.5589 0.0000
2.2794 2.2794 4.8747
Ti C Rh
2 4 2
direct
0.2500 0.7500 0.5000 Ti
0.5000 0.5000 0.0000 Ti
0.6441 0.1250 0.2500 C
0.1059 0.6250 0.2500 C
0.3750 0.3559 0.7500 C
0.8750 0.8941 0.7500 C
0.0000 0.0000 0.0000 Rh
0.7500 0.2500 0.5000 Rh
```

Output
- M_tot (Bohr magnetons per cell) = 0.00
- SG = I-42d


--- 2 ---
# TiRhC2

TiRhC2 after structural relaxation (PBE, Alexandria).

Structure (POSCAR):
```
TiRhC2
1.0
1.0583 -0.5804 3.6187
-1.6631 1.9684 2.8128
-2.3656 -1.7605 2.4201
Rh C Ti
1 2 1
direct
0.5000 0.5000 0.5000 Rh
0.7500 0.7500 0.7500 C
0.2500 0.2500 0.2500 C
0.0000 0.0000 0.0000 Ti
```

Output
- M_tot (Bohr magnetons per cell) = 0.00
- SG = Fm-3m


Result of the stability comparison: 2 is the least stable of them.


--- 1 ---
# TlRh2C

TlRh2C after structural relaxation (PBE, Alexandria).

Structure (POSCAR):
```
TlRh2C
1.0
0.0000 3.1062 3.1062
3.1062 0.0000 3.1062
3.1062 3.1062 0.0000
Rh C Tl
2 1 1
direct
0.7500 0.7500 0.7500 Rh
0.2500 0.2500 0.2500 Rh
0.0000 0.0000 0.0000 C
0.5000 0.5000 0.5000 Tl
```

Output
- M_tot (Bohr magnetons per cell) = 0.67
- SG = Fm-3m


--- 2 ---
# TlRh2C

TlRh2C after structural relaxation (PBE, Alexandria).

Structure (POSCAR):
```
TlRh2C
1.0
6.4894 0.0000 0.0000
0.0000 6.4894 0.0000
3.2447 3.2447 2.9761
Tl Rh C
2 4 2
direct
0.7500 0.2500 0.5000 Tl
0.0000 0.0000 0.0000 Tl
0.8750 0.7530 0.7500 Rh
0.5030 0.1250 0.2500 Rh
0.2470 0.6250 0.2500 Rh
0.3750 0.4970 0.7500 Rh
0.2500 0.7500 0.5000 C
0.5000 0.5000 0.0000 C
```

Output
- M_tot (Bohr magnetons per cell) = 0.00
- SG = I-42d


Result of the stability comparison: 1 is the least stable of them.